# 1
KRbLiSb | GGA-PBE | relaxed

Unit cell a=5.2501 b=5.2501 c=19.6194 alpha=90.00 beta=90.00 gamma=120.00
Space group R3m (No. 160, hexagonal axes)
Inequivalent atoms, fractional coordinates:
K  0.0000  0.0000  0.0000 (multiplicity 3)
Rb  0.0000  0.0000  0.8016 (multiplicity 3)
Li  0.0000  0.0000  0.2451 (multiplicity 3)
Sb  0.0000  0.0000  0.5782 (multiplicity 3)

Results
The calculation puts the polymorph energy (0 for the lowest one) at 0.0000 eV/atom. The energy relative to the elements, uncorrected comes out at -9.47 kcal/mol of atoms. As for the total energy: -29.2 eV for the cell shown.



# 2
LaFe2Cl | GGA-PBE | relaxed

Unit cell a=3.1566 b=3.1566 c=8.0214 alpha=90.00 beta=90.00 gamma=90.00
Space group P4/mmm (No. 123)
Inequivalent atoms, fractional coordinates:
La  0.0000  0.0000  0.0000 (multiplicity 1)
Fe  0.5000  0.5000  0.2929 (multiplicity 2)
Cl  0.0000  0.0000  0.5000 (multiplicity 1)

Results
The calculation puts the polymorph energy (0 for the lowest one) at 0.6570 eV/atom. The energy relative to the elements, uncorrected comes out at 10.31 kcal/mol of atoms. As for the total energy: -21.9 eV for the cell shown.



# 3
Zr5Cd3 | GGA-PBE | relaxed

Unit cell a=11.5020 b=11.5020 c=5.4412 alpha=90.00 beta=90.00 gamma=90.00
Space group I4/mcm (No. 140)
Inequivalent atoms, fractional coordinates:
Zr  0.0000  0.5000  0.2500 (multiplicity 4)
Zr  0.0788  0.2252  0.0000 (multiplicity 16)
Cd  0.0000  0.0000  0.2500 (multiplicity 4)
Cd  0.1663  0.3337  0.5000 (multiplicity 8)

Results
The calculation puts the polymorph energy (0 for the lowest one) at 0.1281 eV/atom. For the formation energy, the calculation gives 11 kJ/mol of formula units. As for the total energy: -181.5 eV for the cell shown.



# 4
Sm2RuAuC | GGA-PBE | relaxed

Unit cell a=5.1415 b=5.1415 c=3.8882 alpha=90.00 beta=90.00 gamma=90.00
Space group P4/mmm (No. 123)
Inequivalent atoms, fractional coordinates:
Sm  0.0000  0.5000  0.0000 (multiplicity 2)
Ru  0.0000  0.0000  0.5000 (multiplicity 1)
Au  0.5000  0.5000  0.5000 (multiplicity 1)
C  0.0000  0.0000  0.0000 (multiplicity 1)

Results
For the formation energy, the calculation gives -236 kJ/mol of formula units. As for the total energy: -33.7 eV for the cell shown.



# 5
Li2AlW | GGA-PBE | relaxed

Unit cell a=5.2204 b=9.3251 c=2.5837 alpha=90.00 beta=90.00 gamma=90.00
Space group Cmmm (No. 65)
Inequivalent atoms, fractional coordinates:
Li  0.2500  0.2500  0.0000 (multiplicity 4)
Al  0.0000  0.0000  0.5000 (multiplicity 2)
W  0.0000  0.5000  0.5000 (multiplicity 2)

Results
For the formation energy, the calculation gives 129 kJ/mol of formula units. As for the total energy: -38.4 eV for the cell shown.



# 6
Nd3GaCu2Ni9 | GGA-PBE | relaxed

Unit cell a=5.8516 b=5.8516 c=8.9025 alpha=90.00 beta=90.00 gamma=120.00
Space group P-3m1 (No. 164)
Inequivalent atoms, fractional coordinates:
Nd  0.0000  0.0000  0.0000 (multiplicity 1)
Nd  0.3333  0.6667  0.7117 (multiplicity 2)
Ga  0.0000  0.0000  0.5000 (multiplicity 1)
Cu  0.3333  0.6667  0.1841 (multiplicity 2)
Ni  0.0000  0.5000  0.0000 (multiplicity 3)
Ni  0.2024  0.4048  0.4065 (multiplicity 6)

Results
For the formation energy, the calculation gives -16 kJ/mol of formula units. As for the total energy: -77.7 eV for the cell shown.